A relaxed structure of Zn2TcRu, computed with PBE.

Summary:
Total magnetic moment ... 0.0 μB per cell
ΔE_f ... 0.2250 eV/atom
Space-group type ... I4/mmm (139)
Calculated volume ... 57.0 Å³/cell
DFT total energy ... -5.32 eV/atom
Crystal system ... tetragonal

POSCAR file:
```
Zn2TcRu
1.0
-1.826 -0.534 -4.456
-4.414 -1.998 -0.065
2.026 3.676 2.419
Zn Ru Tc
2 1 1
direct
0.000 0.000 0.000
0.500 0.500 0.000
0.250 0.750 0.500
0.750 0.250 0.500
```

A relaxed structure of Zn3TcRu, computed with PBE.

Summary:
Total magnetic moment ... 4.0 μB per cell
ΔE_f ... 1.1018 eV/atom
Space-group type ... Pm-3m (221)
Calculated volume ... 102.5 Å³/cell
DFT total energy ... -3.59 eV/atom
Crystal system ... cubic

POSCAR file:
```
Zn3TcRu
1.0
-3.154 2.194 -2.672
-2.390 -3.997 -0.461
-2.498 1.053 3.814
Ru Zn Tc
1 3 1
direct
0.000 0.000 0.000
0.500 0.000 0.000
0.000 0.000 0.500
0.000 0.500 0.000
0.500 0.500 0.500
```

A relaxed structure of ZnTc2Ru, computed with PBE.

Summary:
Total magnetic moment ... 0.0 μB per cell
ΔE_f ... 0.2167 eV/atom
Space-group type ... Pmmm (47)
Calculated volume ... 57.4 Å³/cell
DFT total energy ... -7.60 eV/atom
Crystal system ... orthorhombic

POSCAR file:
```
ZnTc2Ru
1.0
-2.670 1.385 0.460
-2.004 -3.626 -0.713
0.239 -0.991 4.369
Tc Zn Ru
2 1 1
direct
0.500 0.500 0.000
0.000 0.000 0.000
0.500 0.000 0.500
0.000 0.500 0.500
```

A relaxed structure of ZnTc2Ru, computed with PBE.

Summary:
Total magnetic moment ... 0.0 μB per cell
ΔE_f ... 0.0657 eV/atom
Space-group type ... P4mm (99)
Calculated volume ... 57.2 Å³/cell
DFT total energy ... -7.75 eV/atom
Crystal system ... tetragonal

POSCAR file:
```
ZnTc2Ru
1.0
-0.180 0.611 2.698
0.882 -2.550 0.636
7.045 2.416 -0.076
Tc Ru Zn
2 1 1
direct
0.500 0.500 0.248
0.000 0.000 0.993
0.500 0.500 0.754
0.000 0.000 0.505
```

A relaxed structure of ZnTc2Ru, computed with PBE.

Summary:
Total magnetic moment ... 0.0 μB per cell
ΔE_f ... 0.1813 eV/atom
Space-group type ... Cmmm (65)
Calculated volume ... 57.2 Å³/cell
DFT total energy ... -7.64 eV/atom
Crystal system ... orthorhombic

POSCAR file:
```
ZnTc2Ru
1.0
4.811 0.011 0.000
-2.085 4.335 0.000
0.000 0.000 2.740
Ru Zn Tc
1 1 2
direct
0.000 0.500 0.500
0.500 0.000 0.500
0.000 0.000 0.000
0.500 0.500 0.000
```

A relaxed structure of Zn2TcRu, computed with PBE.

Summary:
Total magnetic moment ... 0.0 μB per cell
ΔE_f ... 0.5859 eV/atom
Space-group type ... I-42d (122)
Calculated volume ... 122.5 Å³/cell
DFT total energy ... -4.96 eV/atom
Crystal system ... tetragonal

POSCAR file:
```
Zn2TcRu
1.0
-6.303 0.696 2.804
0.948 -5.859 3.584
-1.675 -1.244 5.116
Zn Ru Tc
4 2 2
direct
0.629 0.125 0.250
0.375 0.371 0.750
0.121 0.625 0.250
0.875 0.879 0.750
0.000 0.000 0.000
0.750 0.250 0.500
0.500 0.500 0.000
0.250 0.750 0.500
```

A relaxed structure of ZnTcRu4, computed with PBE.

Summary:
Total magnetic moment ... 0.0 μB per cell
ΔE_f ... 0.4882 eV/atom
Space-group type ... F-43m (216)
Calculated volume ... 90.7 Å³/cell
DFT total energy ... -7.64 eV/atom
Crystal system ... cubic

POSCAR file:
```
ZnTcRu4
1.0
-4.138 1.235 2.604
-0.673 4.747 1.561
-3.554 2.874 -2.129
Zn Ru Tc
1 4 1
direct
0.000 0.000 0.000
0.625 0.124 0.625
0.625 0.625 0.124
0.625 0.625 0.625
0.124 0.625 0.625
0.250 0.250 0.250
```

A relaxed structure of ZnTcRu2, computed with PBE.

Summary:
Total magnetic moment ... 0.0 μB per cell
ΔE_f ... 0.1507 eV/atom
Space-group type ... Imm2 (44)
Calculated volume ... 56.3 Å³/cell
DFT total energy ... -7.40 eV/atom
Crystal system ... orthorhombic

POSCAR file:
```
ZnTcRu2
1.0
5.063 -0.002 -0.025
2.370 4.475 0.025
-3.288 -2.949 2.476
Ru Zn Tc
2 1 1
direct
0.746 0.246 0.500
0.007 0.007 0.000
0.250 0.750 0.500
0.497 0.497 0.000
```

A relaxed structure of ZrZnTcRu2, computed with PBE.

Summary:
Total magnetic moment ... 0.0 μB per cell
ΔE_f ... 0.9119 eV/atom
Space-group type ... P4/mmm (123)
Calculated volume ... 99.2 Å³/cell
DFT total energy ... -6.84 eV/atom
Crystal system ... tetragonal

POSCAR file:
```
ZrZnTcRu2
1.0
-3.713 0.332 -2.730
-2.765 -0.550 3.694
-0.059 4.576 0.637
Zn Zr Tc Ru
1 1 1 2
direct
0.000 0.500 0.000
0.500 0.500 0.500
0.000 0.000 0.000
0.000 0.000 0.500
0.500 0.000 0.000
```

A relaxed structure of ZrTc3Ru, computed with PBE.

Summary:
Total magnetic moment ... 0.0 μB per cell
ΔE_f ... 1.1973 eV/atom
Space-group type ... Pm-3m (221)
Calculated volume ... 98.9 Å³/cell
DFT total energy ... -8.59 eV/atom
Crystal system ... cubic

POSCAR file:
```
ZrTc3Ru
1.0
-2.670 -1.616 3.412
0.134 -4.217 -1.893
3.773 -0.994 2.482
Tc Ru Zr
3 1 1
direct
0.500 0.000 0.000
0.000 0.000 0.500
0.000 0.500 0.000
0.000 0.000 0.000
0.500 0.500 0.500
```

A relaxed structure of Zr6TcRu5, computed with PBE.

Summary:
Total magnetic moment ... 0.0 μB per cell
ΔE_f ... -0.6200 eV/atom
Space-group type ... Immm (71)
Calculated volume ... 211.5 Å³/cell
DFT total energy ... -9.62 eV/atom
Crystal system ... orthorhombic

POSCAR file:
```
Zr6TcRu5
1.0
4.447 0.019 -1.298
-0.900 5.762 -3.001
-0.073 0.435 8.024
Ru Zr Tc
5 6 1
direct
0.000 0.500 0.000
0.333 0.833 0.665
0.333 0.333 0.666
0.667 0.167 0.335
0.667 0.667 0.334
0.834 0.083 0.668
0.834 0.584 0.668
0.500 0.249 0.000
0.166 0.917 0.332
0.500 0.751 0.000
0.166 0.416 0.332
0.000 0.000 0.000
```

A relaxed structure of ZrTcRu, computed with PBE.

Summary:
Total magnetic moment ... 0.0 μB per cell
ΔE_f ... 0.2836 eV/atom
Space-group type ... F-43m (216)
Calculated volume ... 58.0 Å³/cell
DFT total energy ... -9.11 eV/atom
Crystal system ... cubic

POSCAR file:
```
ZrTcRu
1.0
-3.815 2.053 0.327
-2.562 -0.712 3.435
-0.545 3.109 2.985
Zr Ru Tc
1 1 1
direct
0.500 0.500 0.500
0.250 0.250 0.250
0.000 0.000 0.000
```

> What is the DFT total energy in the sixth record?

-4.96 eV/atom